1.
Compound: LiNb2Tl2O7
Source: the Alexandria database
Functional: PBE-GGA
Structure: relaxed

a = 4.0375 Å, b = 4.0375 Å, c = 10.9887 Å
α = 83.69°, β = 83.69°, γ = 88.63°
Atoms (fractional coordinates):
Li (0.0000, 0.0000, 0.0000)
Nb (0.5929, 0.5929, 0.8183)
Nb (0.4071, 0.4071, 0.1817)
Tl (0.8101, 0.8101, 0.3954)
Tl (0.1899, 0.1899, 0.6046)
O (0.5000, 0.5000, 0.0000)
O (0.4043, 0.4043, 0.3680)
O (0.5957, 0.5957, 0.6320)
O (0.9402, 0.4460, 0.1783)
O (0.4460, 0.9402, 0.1783)
O (0.5540, 0.0598, 0.8217)
O (0.0598, 0.5540, 0.8217)

***

2.
Compound: LiNbTl2O6
Source: the Alexandria database
Functional: PBE-GGA
Structure: relaxed

a = 5.5718 Å, b = 5.5725 Å, c = 5.9650 Å
α = 62.13°, β = 62.14°, γ = 60.01°
Atoms (fractional coordinates):
Li (0.7908, 0.7909, 0.6276)
Nb (0.3106, 0.3104, 0.0686)
Tl (0.5248, 0.5248, 0.4256)
Tl (0.0414, 0.0412, 0.8762)
O (0.5784, 0.2225, 0.2378)
O (0.2224, 0.9613, 0.2378)
O (0.9612, 0.5785, 0.2374)
O (0.4364, 0.6802, 0.7680)
O (0.6801, 0.1155, 0.7681)
O (0.1155, 0.4363, 0.7680)

***

3.
Compound: LiUNbO6
Source: the Alexandria database
Functional: PBE-GGA
Structure: relaxed

a = 5.5423 Å, b = 5.5423 Å, c = 9.4642 Å
α = 90.00°, β = 90.00°, γ = 120.00°
Atoms (fractional coordinates):
Li (0.0000, 0.0000, 0.0000)
Li (0.0000, 0.0000, 0.5000)
U (0.6667, 0.3333, 0.2500)
U (0.3333, 0.6667, 0.7500)
Nb (0.3333, 0.6667, 0.2500)
Nb (0.6667, 0.3333, 0.7500)
O (0.6296, 0.6385, 0.1384)
O (0.0089, 0.3704, 0.1384)
O (0.3704, 0.0089, 0.6384)
O (0.9911, 0.6296, 0.8616)
O (0.3615, 0.3704, 0.3616)
O (0.0089, 0.6385, 0.3616)
O (0.6385, 0.0089, 0.8616)
O (0.6296, 0.9911, 0.3616)
O (0.9911, 0.3615, 0.6384)
O (0.3615, 0.9911, 0.1384)
O (0.6385, 0.6296, 0.6384)
O (0.3704, 0.3615, 0.8616)

***

| no. | formation energy (no corrections) (eV per atom) |
| --- | --- |
| 1 | -1.8516 |
| 2 | -1.4918 |
| 3 | -2.6591 |